MgFe2Tc: relaxed, PBE.

Energy relative to the elements in eV/atom: 0.29
E in eV per atom: -6.93

Cell: 2.7039 2.7039 26.2156 Å, 90.00 90.00 120.00°
With the nearest neighbours (Å) after each atom.
Element x y z (fractional)
Mg (0.0000, 0.0000, 0.0000)  6 Mg 2.70, 6 Fe 2.77
Mg (0.3333, 0.6667, 0.6667)  6 Mg 2.70, 6 Fe 2.77
Mg (0.6667, 0.3333, 0.3333)  6 Mg 2.70, 6 Fe 2.77
Fe (0.0000, 0.0000, 0.2461)  3 Tc 2.60, 6 Fe 2.70, 3 Mg 2.77
Fe (0.0000, 0.0000, 0.7539)  3 Tc 2.60, 6 Fe 2.70, 3 Mg 2.77
Fe (0.3333, 0.6667, 0.4206)  3 Tc 2.60, 6 Fe 2.70, 3 Mg 2.77
Fe (0.3333, 0.6667, 0.9128)  3 Tc 2.60, 6 Fe 2.70, 3 Mg 2.77
Fe (0.6667, 0.3333, 0.0872)  3 Tc 2.60, 6 Fe 2.70, 3 Mg 2.77
Fe (0.6667, 0.3333, 0.5794)  3 Tc 2.60, 6 Fe 2.70, 3 Mg 2.77
Tc (0.0000, 0.0000, 0.5000)  6 Fe 2.60, 6 Tc 2.70
Tc (0.3333, 0.6667, 0.1667)  6 Fe 2.60, 6 Tc 2.70
Tc (0.6667, 0.3333, 0.8333)  6 Fe 2.60, 6 Tc 2.70